# 1
Be4AlAs2 | PBE | relaxed

Results
- total energy (eV for the cell shown) = -43.458
- crystal system = tetragonal

Cell and atoms, written as CIF:
```
data_Be4AlAs2
_chemical_formula_sum 'Be8 Al2 As4'
_symmetry_space_group_name_H-M 'I 4/m m m'
_symmetry_Int_Tables_number 139
_symmetry_space_group_name_Hall '-I 4 2'
_cell_length_a 4.441
_cell_length_b 4.441
_cell_length_c 11.891
_cell_angle_alpha 90.00
_cell_angle_beta 90.00
_cell_angle_gamma 90.00
loop_
_atom_site_label
_atom_site_fract_x
_atom_site_fract_y
_atom_site_fract_z
Be1 0.000 0.000 0.189
Be2 0.000 0.500 0.000
Al1 0.000 0.000 0.000
As1 0.000 0.000 0.372
```



# 2
BeAl3As | PBE | relaxed

Results
- distance to the lowest polymorph of the same formula (meV/atom) = 0.0
- crystal system = cubic

Cell and atoms, written as CIF:
```
data_BeAl3As
_chemical_formula_sum 'Be1 Al3 As1'
_symmetry_space_group_name_H-M 'P m -3 m'
_symmetry_Int_Tables_number 221
_symmetry_space_group_name_Hall '-P 4 2 3'
_cell_length_a 4.393
_cell_length_b 4.393
_cell_length_c 4.393
_cell_angle_alpha 90.00
_cell_angle_beta 90.00
_cell_angle_gamma 90.00
loop_
_atom_site_label
_atom_site_fract_x
_atom_site_fract_y
_atom_site_fract_z
Be1 0.000 0.000 0.000
Al1 0.000 0.000 0.500
As1 0.500 0.500 0.500
```



# 3
BeAl3As | PBE | relaxed

Results
- distance to the lowest polymorph of the same formula (meV/atom) = 707.0
- crystal system = cubic

Cell and atoms, written as CIF:
```
data_BeAl3As
_chemical_formula_sum 'Be1 Al3 As1'
_symmetry_space_group_name_H-M 'P m -3 m'
_symmetry_Int_Tables_number 221
_symmetry_space_group_name_Hall '-P 4 2 3'
_cell_length_a 4.875
_cell_length_b 4.875
_cell_length_c 4.875
_cell_angle_alpha 90.00
_cell_angle_beta 90.00
_cell_angle_gamma 90.00
loop_
_atom_site_label
_atom_site_fract_x
_atom_site_fract_y
_atom_site_fract_z
Be1 0.000 0.000 0.000
Al1 0.000 0.500 0.500
As1 0.500 0.500 0.500
```



# 4
BeAlAs2Br | PBE | relaxed

Results
- distance to the lowest polymorph of the same formula (meV/atom) = 404.9
- ΔE_f (raw) (kJ/mol of atoms) = 78
- crystal system = tetragonal

Cell and atoms, written as CIF:
```
data_BeAlAs2Br
_chemical_formula_sum 'Be1 Al1 As2 Br1'
_symmetry_space_group_name_H-M 'P 4/m m m'
_symmetry_Int_Tables_number 123
_symmetry_space_group_name_Hall '-P 4 2'
_cell_length_a 4.909
_cell_length_b 4.909
_cell_length_c 4.960
_cell_angle_alpha 90.00
_cell_angle_beta 90.00
_cell_angle_gamma 90.00
loop_
_atom_site_label
_atom_site_fract_x
_atom_site_fract_y
_atom_site_fract_z
Be1 0.000 0.000 0.000
Al1 0.500 0.500 0.500
As1 0.000 0.500 0.500
Br1 0.500 0.500 0.000
```



# 5
BeAlAs2Br | PBE | relaxed

Results
- distance to the lowest polymorph of the same formula (meV/atom) = 0.0
- ΔE_f (raw) (kJ/mol of atoms) = 39
- crystal system = tetragonal

Cell and atoms, written as CIF:
```
data_BeAlAs2Br
_chemical_formula_sum 'Be1 Al1 As2 Br1'
_symmetry_space_group_name_H-M 'P 4/m m m'
_symmetry_Int_Tables_number 123
_symmetry_space_group_name_Hall '-P 4 2'
_cell_length_a 4.286
_cell_length_b 4.286
_cell_length_c 7.181
_cell_angle_alpha 90.00
_cell_angle_beta 90.00
_cell_angle_gamma 90.00
loop_
_atom_site_label
_atom_site_fract_x
_atom_site_fract_y
_atom_site_fract_z
Be1 0.000 0.000 0.000
Al1 0.500 0.500 0.500
As1 0.000 0.500 0.000
Br1 0.000 0.000 0.500
```



# 6
BeAlCdAs2 | PBE | relaxed

Results
- total energy (eV for the cell shown) = -15.280
- crystal system = tetragonal

Cell and atoms, written as CIF:
```
data_BeAlCdAs2
_chemical_formula_sum 'Be1 Al1 Cd1 As2'
_symmetry_space_group_name_H-M 'P 4/m m m'
_symmetry_Int_Tables_number 123
_symmetry_space_group_name_Hall '-P 4 2'
_cell_length_a 4.492
_cell_length_b 4.492
_cell_length_c 5.018
_cell_angle_alpha 90.00
_cell_angle_beta 90.00
_cell_angle_gamma 90.00
loop_
_atom_site_label
_atom_site_fract_x
_atom_site_fract_y
_atom_site_fract_z
Be1 0.000 0.000 0.000
Al1 0.500 0.500 0.500
Cd1 0.000 0.000 0.500
As1 0.000 0.500 0.000
```



# 7
BeAl2CrAs | PBE | relaxed

Results
- total energy (eV for the cell shown) = -23.448
- crystal system = tetragonal

Cell and atoms, written as CIF:
```
data_BeAl2CrAs
_chemical_formula_sum 'Be1 Al2 Cr1 As1'
_symmetry_space_group_name_H-M 'P 4/m m m'
_symmetry_Int_Tables_number 123
_symmetry_space_group_name_Hall '-P 4 2'
_cell_length_a 4.272
_cell_length_b 4.272
_cell_length_c 4.402
_cell_angle_alpha 90.00
_cell_angle_beta 90.00
_cell_angle_gamma 90.00
loop_
_atom_site_label
_atom_site_fract_x
_atom_site_fract_y
_atom_site_fract_z
Be1 0.000 0.000 0.000
Al1 0.000 0.500 0.000
Cr1 0.000 0.000 0.500
As1 0.500 0.500 0.500
```



# 8
KBeAl2As | PBE | relaxed

Results
- total energy (eV for the cell shown) = -12.675
- crystal system = tetragonal

Cell and atoms, written as CIF:
```
data_KBeAl2As
_chemical_formula_sum 'K1 Be1 Al2 As1'
_symmetry_space_group_name_H-M 'P 4/m m m'
_symmetry_Int_Tables_number 123
_symmetry_space_group_name_Hall '-P 4 2'
_cell_length_a 5.061
_cell_length_b 5.061
_cell_length_c 6.083
_cell_angle_alpha 90.00
_cell_angle_beta 90.00
_cell_angle_gamma 90.00
loop_
_atom_site_label
_atom_site_fract_x
_atom_site_fract_y
_atom_site_fract_z
K1 0.000 0.000 0.000
Be1 0.500 0.500 0.000
Al1 0.000 0.500 0.500
As1 0.000 0.000 0.500
```



# 9
LaBe2AlAs | PBE | relaxed

Results
- total energy (eV for the cell shown) = -18.730
- crystal system = tetragonal

Cell and atoms, written as CIF:
```
data_LaBe2AlAs
_chemical_formula_sum 'La1 Be2 Al1 As1'
_symmetry_space_group_name_H-M 'P 4/m m m'
_symmetry_Int_Tables_number 123
_symmetry_space_group_name_Hall '-P 4 2'
_cell_length_a 4.475
_cell_length_b 4.475
_cell_length_c 5.122
_cell_angle_alpha 90.00
_cell_angle_beta 90.00
_cell_angle_gamma 90.00
loop_
_atom_site_label
_atom_site_fract_x
_atom_site_fract_y
_atom_site_fract_z
La1 0.000 0.000 0.000
Be1 0.000 0.500 0.500
Al1 0.500 0.500 0.000
As1 0.500 0.500 0.500
```



# 10
NaBeAl2As | PBE | relaxed

Results
- total energy (eV for the cell shown) = -14.362
- crystal system = tetragonal

Cell and atoms, written as CIF:
```
data_NaBeAl2As
_chemical_formula_sum 'Na1 Be1 Al2 As1'
_symmetry_space_group_name_H-M 'P 4/m m m'
_symmetry_Int_Tables_number 123
_symmetry_space_group_name_Hall '-P 4 2'
_cell_length_a 5.335
_cell_length_b 5.335
_cell_length_c 4.077
_cell_angle_alpha 90.00
_cell_angle_beta 90.00
_cell_angle_gamma 90.00
loop_
_atom_site_label
_atom_site_fract_x
_atom_site_fract_y
_atom_site_fract_z
Na1 0.000 0.000 0.000
Be1 0.500 0.500 0.000
Al1 0.000 0.500 0.500
As1 0.500 0.500 0.500
```



# 11
BeNbAlAs2 | PBE | relaxed

Results
- total energy (eV for the cell shown) = -21.835
- crystal system = tetragonal

Cell and atoms, written as CIF:
```
data_BeNbAlAs2
_chemical_formula_sum 'Be1 Nb1 Al1 As2'
_symmetry_space_group_name_H-M 'P 4/m m m'
_symmetry_Int_Tables_number 123
_symmetry_space_group_name_Hall '-P 4 2'
_cell_length_a 4.826
_cell_length_b 4.826
_cell_length_c 4.085
_cell_angle_alpha 90.00
_cell_angle_beta 90.00
_cell_angle_gamma 90.00
loop_
_atom_site_label
_atom_site_fract_x
_atom_site_fract_y
_atom_site_fract_z
Be1 0.000 0.000 0.000
Nb1 0.500 0.500 0.000
Al1 0.000 0.000 0.500
As1 0.000 0.500 0.500
```



# 12
BeAlAsPb2 | PBE | relaxed

Results
- total energy (eV for the cell shown) = -17.525
- crystal system = tetragonal

Cell and atoms, written as CIF:
```
data_BeAlAsPb2
_chemical_formula_sum 'Be1 Al1 As1 Pb2'
_symmetry_space_group_name_H-M 'P 4/m m m'
_symmetry_Int_Tables_number 123
_symmetry_space_group_name_Hall '-P 4 2'
_cell_length_a 5.106
_cell_length_b 5.106
_cell_length_c 4.493
_cell_angle_alpha 90.00
_cell_angle_beta 90.00
_cell_angle_gamma 90.00
loop_
_atom_site_label
_atom_site_fract_x
_atom_site_fract_y
_atom_site_fract_z
Be1 0.000 0.000 0.000
Al1 0.000 0.000 0.500
As1 0.500 0.500 0.500
Pb1 0.000 0.500 0.000
```



For each record above, in turn, the calculated DOS at the Fermi energy values are 2.423 0.884 1.974 5.313 1.608 2.186 2.053 2.122 4.099 2.368 5.675 1.856 states/eV/f.u..